(1)
A plane-wave DFT calculation with PBE was carried out for crystalline BaNpZnO6 at its relaxed geometry.

Output
The total magnetic moment comes out at 0.91 μB per formula unit. The calculation puts the density at 5.9 g/cm³. The value obtained for the formation energy without anion corrections is -2.1650 eV/atom.

Cell lengths 5.4247, 5.4247, 5.8891 Å; angles 90.00, 90.00, 120.00 degrees
Space group P312 (No. 149)
Unique sites:
Ba 0.0000 0.0000 0.0000
Np 0.3333 0.6667 0.5000
Zn 0.6667 0.3333 0.5000
O 0.0139 0.3840 0.3028

=====

(2)
A plane-wave DFT calculation with PBE was carried out for crystalline Na2CdPbF at its relaxed geometry.

Output
The total magnetic moment comes out at 0.00 μB per formula unit. The calculation puts the density at 5.5 g/cm³. The value obtained for the formation energy without anion corrections is -0.9795 eV/atom.

Cell lengths 4.5092, 4.5092, 5.7248 Å; angles 90.00, 90.00, 90.00 degrees
Space group P4/mmm (No. 123)
Unique sites:
Na 0.0000 0.5000 0.0000
Cd 0.0000 0.0000 0.5000
Pb 0.5000 0.5000 0.5000
F 0.0000 0.0000 0.0000

=====

(3)
A plane-wave DFT calculation with PBE was carried out for crystalline ZrInCl2 at its relaxed geometry.

Output
The total magnetic moment comes out at 0.00 μB per formula unit. The calculation puts the density at 5.0 g/cm³. The value obtained for the formation energy without anion corrections is -0.7558 eV/atom.

Cell lengths 3.6260, 3.6260, 6.9854 Å; angles 90.00, 90.00, 90.00 degrees
Space group P4mm (No. 99)
Unique sites:
Zr 0.0000 0.0000 0.0000
In 0.5000 0.5000 0.6776
Cl 0.0000 0.0000 0.3632
Cl 0.5000 0.5000 0.1071

=====

(4)
A plane-wave DFT calculation with PBE was carried out for crystalline Tb6CeDyEr2 at its relaxed geometry.

Output
The total magnetic moment comes out at 0.91 μB per formula unit. The formation energy comes out at 153.9 meV/atom. The calculation puts the density at 8.3 g/cm³.

Cell lengths 9.4253, 15.2649, 8.8587 Å; angles 90.00, 91.53, 90.00 degrees
Space group C2/c (No. 15)
Unique sites:
Tb 0.0680 0.1526 0.4351
Tb 0.0802 0.3601 0.5891
Tb 0.2473 0.2206 0.8153
Ce 0.0000 0.0571 0.7500
Dy 0.0000 0.4334 0.2500
Er 0.2464 0.4491 0.9360

=====

(5)
A plane-wave DFT calculation with PBE was carried out for crystalline KLa2Mg at its relaxed geometry.

Output
The total magnetic moment comes out at 0.01 μB per formula unit. The formation energy comes out at 346.0 meV/atom. The calculation puts the density at 3.8 g/cm³.

Cell lengths 5.1521, 5.1521, 5.6859 Å; angles 90.00, 90.00, 90.00 degrees
Space group P4/mmm (No. 123)
Unique sites:
K 0.0000 0.0000 0.0000
La 0.0000 0.5000 0.5000
Mg 0.5000 0.5000 0.0000

=====

(6)
A plane-wave DFT calculation with PBE was carried out for crystalline SrTbUN3 at its relaxed geometry.

Output
The total magnetic moment comes out at 2.01 μB per formula unit. The calculation puts the density at 8.8 g/cm³. The value obtained for the formation energy without anion corrections is -1.2154 eV/atom.

Cell lengths 6.0970, 3.5832, 9.2530 Å; angles 90.00, 102.14, 90.00 degrees
Space group P2_1/m (No. 11)
Unique sites:
Sr 0.1534 0.2500 0.1892
Tb 0.3587 0.2500 0.8601
U 0.2631 0.7500 0.5392
N 0.0482 0.2500 0.6323
N 0.2739 0.7500 0.9922
N 0.4709 0.7500 0.3708

=====

(7)
A plane-wave DFT calculation with PBE was carried out for crystalline FeBAsC at its relaxed geometry.

Output
The total magnetic moment comes out at 0.00 μB per formula unit. The formation energy comes out at 524.5 meV/atom. The calculation puts the density at 4.9 g/cm³.

Cell lengths 7.6851, 3.3460, 5.2778 Å; angles 90.00, 129.78, 90.00 degrees
Space group Cm (No. 8)
Unique sites:
Fe 0.0000 0.0000 0.0000
B 0.2026 0.5000 0.5579
As 0.1809 0.0000 0.7871
C 0.0782 0.5000 0.1852

=====

(8)
A plane-wave DFT calculation with PBE was carried out for crystalline LiZrCd2 at its relaxed geometry.

Output
The total magnetic moment comes out at 0.00 μB per formula unit. The formation energy comes out at -93.0 meV/atom. The calculation puts the density at 6.4 g/cm³.

Cell lengths 3.0499, 3.0499, 30.9703 Å; angles 90.00, 90.00, 120.00 degrees
Space group R-3m (No. 166, hexagonal axes)
Unique sites:
Li 0.0000 0.0000 0.0000
Zr 0.0000 0.0000 0.5000
Cd 0.0000 0.0000 0.2546

=====

(9)
A plane-wave DFT calculation with PBE was carried out for crystalline K2CrPt at its relaxed geometry.

Output
The total magnetic moment comes out at 4.13 μB per formula unit. The formation energy comes out at 267.0 meV/atom. The calculation puts the density at 4.1 g/cm³.

Cell lengths 3.6025, 3.6025, 10.0357 Å; angles 90.00, 90.00, 90.00 degrees
Space group P4mm (No. 99)
Unique sites:
K 0.0000 0.0000 0.0000
K 0.5000 0.5000 0.4163
Cr 0.5000 0.5000 0.7325
Pt 0.0000 0.0000 0.6715

=====

(10)
A plane-wave DFT calculation with PBE was carried out for crystalline MgTl2Au2 at its relaxed geometry.

Output
The total magnetic moment comes out at 0.00 μB per formula unit. The formation energy comes out at 66.5 meV/atom. The calculation puts the density at 11.3 g/cm³.

Cell lengths 8.0100, 8.0100, 3.7727 Å; angles 90.00, 90.00, 90.00 degrees
Space group P4/mbm (No. 127)
Unique sites:
Mg 0.0000 0.0000 0.0000
Tl 0.1441 0.3559 0.0000
Au 0.1580 0.6580 0.5000

=====

(11)
A plane-wave DFT calculation with PBE was carried out for crystalline Cs3Hg6Pd at its relaxed geometry.

Output
The total magnetic moment comes out at 0.00 μB per formula unit. The formation energy comes out at -230.1 meV/atom. The calculation puts the density at 7.2 g/cm³.

Cell lengths 13.7598, 21.6985, 5.2888 Å; angles 90.00, 90.00, 90.00 degrees
Space group Cmc2_1 (No. 36)
Unique sites:
Cs 0.0000 0.1507 0.0000
Cs 0.1847 0.4026 0.4983
Hg 0.0000 0.2828 0.4993
Hg 0.0000 0.4503 0.9983
Hg 0.1145 0.0360 0.4994
Hg 0.1934 0.2754 0.9984
Pd 0.0000 0.3210 0.9993

=====

(12)
A plane-wave DFT calculation with PBE was carried out for crystalline MgGaFeRh at its relaxed geometry.

Output
The total magnetic moment comes out at 1.60 μB per formula unit. The formation energy comes out at -234.0 meV/atom. The calculation puts the density at 7.5 g/cm³.

Cell lengths 6.0587, 6.0587, 6.0587 Å; angles 90.00, 90.00, 90.00 degrees
Space group F-43m (No. 216)
Unique sites:
Mg 0.0000 0.0000 0.0000
Ga 0.0000 0.0000 0.5000
Fe 0.2500 0.2500 0.2500
Rh 0.2500 0.2500 0.7500

=====

(13)
A plane-wave DFT calculation with PBE was carried out for crystalline Pm3PrNdTh at its relaxed geometry.

Output
The total magnetic moment comes out at 0.00 μB per formula unit. The formation energy comes out at 33.7 meV/atom. The calculation puts the density at 7.6 g/cm³.

Cell lengths 8.1692, 5.1620, 10.3606 Å; angles 90.00, 108.40, 90.00 degrees
Space group P2_1/m (No. 11)
Unique sites:
Pm 0.1706 0.2500 0.0448
Pm 0.1712 0.7500 0.7908
Pm 0.1778 0.2500 0.5429
Pr 0.1763 0.7500 0.2955
Nd 0.4989 0.2500 0.8697
Th 0.5003 0.2500 0.3793

=====

(14)
A plane-wave DFT calculation with PBE was carried out for crystalline ZrIn4N2 at its relaxed geometry.

Output
The total magnetic moment comes out at 0.00 μB per formula unit. The calculation puts the density at 4.8 g/cm³. The value obtained for the formation energy without anion corrections is 0.6721 eV/atom.

Cell lengths 5.9280, 5.9280, 11.3608 Å; angles 90.00, 90.00, 90.00 degrees
Space group I4/mmm (No. 139)
Unique sites:
Zr 0.0000 0.0000 0.0000
In 0.0000 0.0000 0.2515
In 0.0000 0.5000 0.0000
N 0.0000 0.0000 0.4479

=====

(15)
A plane-wave DFT calculation with PBE was carried out for crystalline LiZn4Ag4 at its relaxed geometry.

Output
The total magnetic moment comes out at 0.00 μB per formula unit. The formation energy comes out at -90.7 meV/atom. The calculation puts the density at 8.0 g/cm³.

Cell lengths 8.6991, 8.6991, 3.8204 Å; angles 90.00, 90.00, 90.00 degrees
Space group I4/mmm (No. 139)
Unique sites:
Li 0.0000 0.0000 0.0000
Zn 0.0000 0.3361 0.0000
Ag 0.1641 0.1641 0.5000

=====

(16)
A plane-wave DFT calculation with PBE was carried out for crystalline KNa2La2 at its relaxed geometry.

Output
The total magnetic moment comes out at 0.53 μB per formula unit. The formation energy comes out at 345.8 meV/atom. The calculation puts the density at 2.8 g/cm³.

Cell lengths 10.8731, 10.8731, 3.6521 Å; angles 90.00, 90.00, 90.00 degrees
Space group P4/mbm (No. 127)
Unique sites:
K 0.0000 0.0000 0.0000
Na 0.1894 0.3106 0.0000
La 0.0949 0.5949 0.5000

=====

(17)
A plane-wave DFT calculation with PBE was carried out for crystalline Ta2AgPb at its relaxed geometry.

Output
The total magnetic moment comes out at 0.00 μB per formula unit. The formation energy comes out at 615.5 meV/atom. The calculation puts the density at 14.3 g/cm³.

Cell lengths 3.0316, 3.0316, 8.5653 Å; angles 90.00, 90.00, 90.00 degrees
Space group P4/mmm (No. 123)
Unique sites:
Ta 0.0000 0.0000 0.2306
Ag 0.5000 0.5000 0.0000
Pb 0.5000 0.5000 0.5000

=====

(18)
A plane-wave DFT calculation with PBE was carried out for crystalline Ca3Mg2Cd at its relaxed geometry.

Output
The total magnetic moment comes out at 0.00 μB per formula unit. The formation energy comes out at -173.8 meV/atom. The calculation puts the density at 2.6 g/cm³.

Cell lengths 3.9477, 3.9477, 11.5917 Å; angles 90.00, 90.00, 90.00 degrees
Space group P4/mmm (No. 123)
Unique sites:
Ca 0.0000 0.0000 0.0000
Ca 0.0000 0.0000 0.3418
Mg 0.5000 0.5000 0.1702
Cd 0.5000 0.5000 0.5000

=====

(19)
A plane-wave DFT calculation with PBE was carried out for crystalline PuTi2Tl at its relaxed geometry.

Output
The total magnetic moment comes out at 5.09 μB per formula unit. The formation energy comes out at 195.2 meV/atom. The calculation puts the density at 10.9 g/cm³.

Cell lengths 3.1762, 3.1762, 28.4521 Å; angles 90.00, 90.00, 120.00 degrees
Space group R-3m (No. 166, hexagonal axes)
Unique sites:
Pu 0.0000 0.0000 0.0000
Ti 0.0000 0.0000 0.2516
Tl 0.0000 0.0000 0.5000

=====

(20)
A plane-wave DFT calculation with PBE was carried out for crystalline LaCr4Ag at its relaxed geometry.

Output
The total magnetic moment comes out at 0.04 μB per formula unit. The formation energy comes out at 658.4 meV/atom. The calculation puts the density at 7.8 g/cm³.

Cell lengths 7.2744, 7.2744, 7.2744 Å; angles 90.00, 90.00, 90.00 degrees
Space group F-43m (No. 216)
Unique sites:
La 0.0000 0.0000 0.0000
Cr 0.1227 0.1227 0.3773
Ag 0.2500 0.2500 0.7500

=====

How do the records compare in DOS(E_F)? In the order shown, they have 0.99; 0.52; 0.59; 1.70; 1.51; 0.59; 0.39; 0.62; 0.80; 0.27; 0.43; 1.90; 1.47; 0.79; 0.29; 1.33; 0.93; 0.93; 1.69; 1.61 states/eV/atom.